This record from the Alexandria database describes a geometry-optimized SnTe2OsI structure. The functional is PBEsol.

```
SnTe2OsI
1.0
-3.377 4.024 1.872
-2.965 -0.296 -4.714
-3.344 -3.899 2.348
Sn Os Te I
1 1 2 1
Direct
0.000 0.000 0.000 Sn
0.500 0.500 0.500 Os
0.500 0.000 0.000 Te
0.000 0.500 0.000 Te
0.000 0.000 0.500 I
```

Output
calculated volume: 175.6 Å³ per cell
electronic total energy: -16.7 eV per cell
crystal system: tetragonal

=====

This record from the Alexandria database describes a geometry-optimized TlSn2OsI structure. The functional is PBEsol.

```
TlSn2OsI
1.0
5.035 0.000 0.000
0.000 5.035 0.000
0.000 0.000 5.925
Sn Os I Tl
2 1 1 1
Direct
0.500 0.000 0.000 Sn
0.000 0.500 0.000 Sn
0.000 0.000 0.000 Os
0.000 0.000 0.500 I
0.500 0.500 0.500 Tl
```

Output
calculated volume: 150.2 Å³ per cell
electronic total energy: -23.3 eV per cell
crystal system: tetragonal

=====

What is the electronic total energy in the first record? -16.7 eV per cell

=====

Look up the calculated volume of the first one. 175.6 Å³ per cell

=====

Repeat the second record exactly.
This record from the Alexandria database describes a geometry-optimized TlSn2OsI structure. The functional is PBEsol.

```
TlSn2OsI
1.0
5.035 0.000 0.000
0.000 5.035 0.000
0.000 0.000 5.925
Sn Os I Tl
2 1 1 1
Direct
0.500 0.000 0.000 Sn
0.000 0.500 0.000 Sn
0.000 0.000 0.000 Os
0.000 0.000 0.500 I
0.500 0.500 0.500 Tl
```

Output
calculated volume: 150.2 Å³ per cell
electronic total energy: -23.3 eV per cell
crystal system: tetragonal

=====

Look up the electronic total energy of the second one. -23.3 eV per cell